# BaY2CoO5 (meta-GGA SCAN, PBEsol geometry)
# E_form (uncorrected) = -299.0 kJ/mol of atoms
# Magnetic moment = 0.33 μB per atom
data_BaY2CoO5
_chemical_formula_sum 'Ba4 Y8 Co4 O20'
_cell_length_a 12.162
_cell_length_b 5.675
_cell_length_c 6.999
_cell_angle_alpha 90.00
_cell_angle_beta 90.00
_cell_angle_gamma 90.00
_space_group_name_H-M_alt 'P n m a'
_space_group_IT_number 62
_space_group_name_Hall '-P 2ac 2n'
loop_
_atom_site_label
_atom_site_type_symbol
_atom_site_fract_x
_atom_site_fract_y
_atom_site_fract_z
_atom_site_occupancy
Ba1 Ba 0.100 0.250 0.079 1
Y1 Y 0.076 0.750 0.404 1
Y2 Y 0.208 0.250 0.620 1
Co1 Co 0.152 0.750 0.810 1
O1 O 0.064 0.506 0.671 1
O2 O 0.103 0.750 0.074 1
O3 O 0.225 0.001 0.361 1